(1)
The following is a PBE calculation of a relaxed ScCuO2F crystal, from Alexandria.

Uncorrected formation energy ... -1.543 eV per atom

Cell: 3.837 3.837 3.757 Å, 90.00 90.00 90.00°
Sites, in units of the cell vectors:
Sc 0.000 0.000 0.000
Cu 0.500 0.500 0.500
O 0.000 0.500 0.500
O 0.500 0.000 0.500
F 0.500 0.500 0.000

(2)
The following is a PBE calculation of a relaxed CeTmCd2 crystal, from Alexandria.

ΔE_f ... -0.163 eV per atom

Cell: 4.780 4.780 4.577 Å, 90.00 90.00 90.00°
Sites, in units of the cell vectors:
Ce 0.000 0.000 0.000
Tm 0.500 0.500 0.000
Cd 0.000 0.500 0.500
Cd 0.500 0.000 0.500

(3)
The following is a PBE calculation of a relaxed Mn2AgRh crystal, from Alexandria.

ΔE_f ... 0.504 eV per atom

Cell: 7.014 7.014 5.528 Å, 90.00 90.00 90.00°
Sites, in units of the cell vectors:
Mn 0.233 0.250 0.125
Mn 0.250 0.733 0.375
Mn 0.250 0.767 0.875
Mn 0.267 0.250 0.625
Mn 0.733 0.750 0.625
Mn 0.750 0.233 0.875
Mn 0.750 0.267 0.375
Mn 0.767 0.750 0.125
Ag 0.000 0.000 0.500
Ag 0.000 0.500 0.750
Ag 0.500 0.000 0.250
Ag 0.500 0.500 0.000
Rh 0.000 0.000 0.000
Rh 0.000 0.500 0.250
Rh 0.500 0.000 0.750
Rh 0.500 0.500 0.500

(4)
The following is a PBE calculation of a relaxed TmTaMnC3 crystal, from Alexandria.

ΔE_f ... -0.155 eV per atom

Cell: 6.764 3.287 7.231 Å, 90.00 100.06 90.00°
Sites, in units of the cell vectors:
Tm 0.170 0.250 0.189
Tm 0.830 0.750 0.811
Ta 0.358 0.750 0.854
Ta 0.642 0.250 0.146
Mn 0.100 0.250 0.601
Mn 0.900 0.750 0.399
C 0.120 0.250 0.855
C 0.176 0.750 0.522
C 0.428 0.750 0.153
C 0.572 0.250 0.847
C 0.824 0.250 0.478
C 0.880 0.750 0.145

(5)
The following is a PBE calculation of a relaxed TcAgPt crystal, from Alexandria.

ΔE_f ... -0.065 eV per atom

Cell: 2.789 2.789 12.234 Å, 90.00 90.00 90.00°
Sites, in units of the cell vectors:
Tc 0.250 0.250 0.074
Tc 0.750 0.750 0.926
Ag 0.250 0.250 0.410
Ag 0.750 0.750 0.590
Pt 0.250 0.250 0.767
Pt 0.750 0.750 0.233

(6)
The following is a PBE calculation of a relaxed RbAsRu2Se crystal, from Alexandria.

Uncorrected formation energy ... 0.918 eV per atom

Cell: 4.687 4.687 5.363 Å, 90.00 90.00 90.00°
Sites, in units of the cell vectors:
Rb 0.000 0.000 0.000
As 0.500 0.500 0.000
Ru 0.000 0.500 0.500
Ru 0.500 0.000 0.500
Se 0.500 0.500 0.500

(7)
The following is a PBE calculation of a relaxed Re3Tc2 crystal, from Alexandria.

ΔE_f ... 0.060 eV per atom

Cell: 2.758 2.758 33.853 Å, 90.00 90.00 120.00°
Sites, in units of the cell vectors:
Re 0.000 0.000 0.000
Re 0.000 0.000 0.200
Re 0.000 0.000 0.800
Re 0.333 0.667 0.466
Re 0.333 0.667 0.667
Re 0.333 0.667 0.867
Re 0.667 0.333 0.133
Re 0.667 0.333 0.333
Re 0.667 0.333 0.534
Tc 0.000 0.000 0.400
Tc 0.000 0.000 0.600
Tc 0.333 0.667 0.067
Tc 0.333 0.667 0.267
Tc 0.667 0.333 0.733
Tc 0.667 0.333 0.933

(8)
The following is a PBE calculation of a relaxed CsNpFe2I8 crystal, from Alexandria.

Uncorrected formation energy ... -0.569 eV per atom

Cell: 7.484 7.484 11.211 Å, 96.49 96.49 68.82°
Sites, in units of the cell vectors:
Cs 0.000 0.000 0.000
Np 0.000 0.000 0.500
Fe 0.383 0.383 0.709
Fe 0.617 0.617 0.291
I 0.236 0.727 0.297
I 0.250 0.250 0.505
I 0.273 0.764 0.703
I 0.310 0.310 0.911
I 0.690 0.690 0.089
I 0.727 0.236 0.297
I 0.750 0.750 0.495
I 0.764 0.273 0.703

(9)
The following is a PBE calculation of a relaxed RbCa3Mn crystal, from Alexandria.

ΔE_f ... 1.403 eV per atom

Cell: 5.832 5.832 5.832 Å, 90.00 90.00 90.00°
Sites, in units of the cell vectors:
Rb 0.000 0.000 0.000
Ca 0.000 0.000 0.500
Ca 0.000 0.500 0.000
Ca 0.500 0.000 0.000
Mn 0.500 0.500 0.500

(10)
The following is a PBE calculation of a relaxed Pm2CdSb3Rh4 crystal, from Alexandria.

Uncorrected formation energy ... -0.724 eV per atom

Cell: 4.389 4.389 11.056 Å, 90.00 90.00 90.00°
Sites, in units of the cell vectors:
Pm 0.000 0.500 0.249
Pm 0.500 0.000 0.751
Cd 0.500 0.500 0.000
Sb 0.000 0.000 0.000
Sb 0.000 0.500 0.632
Sb 0.500 0.000 0.368
Rh 0.000 0.000 0.500
Rh 0.000 0.500 0.860
Rh 0.500 0.000 0.140
Rh 0.500 0.500 0.500

(11)
The following is a PBE calculation of a relaxed BaReSb2 crystal, from Alexandria.

Uncorrected formation energy ... -0.061 eV per atom

Cell: 4.586 4.586 18.376 Å, 90.00 90.00 120.00°
Sites, in units of the cell vectors:
Ba 0.000 0.000 0.000
Ba 0.333 0.667 0.667
Ba 0.667 0.333 0.333
Re 0.000 0.000 0.500
Re 0.333 0.667 0.167
Re 0.667 0.333 0.833
Sb 0.000 0.000 0.214
Sb 0.000 0.000 0.786
Sb 0.333 0.667 0.452
Sb 0.333 0.667 0.881
Sb 0.667 0.333 0.119
Sb 0.667 0.333 0.548

(12)
The following is a PBE calculation of a relaxed Ta3AsI crystal, from Alexandria.

Uncorrected formation energy ... 1.217 eV per atom

Cell: 4.837 4.837 4.837 Å, 90.00 90.00 90.00°
Sites, in units of the cell vectors:
Ta 0.000 0.000 0.500
Ta 0.000 0.500 0.000
Ta 0.500 0.000 0.000
As 0.000 0.000 0.000
I 0.500 0.500 0.500

Number 1: DOS at the Fermi energy 2.0 states/eV/f.u.. Number 2: DOS at the Fermi energy 8.7 states/eV/f.u.. Number 3: DOS at the Fermi energy 2.8 states/eV/f.u.. Number 4: DOS at the Fermi energy 1.9 states/eV/f.u.. Number 5: DOS at the Fermi energy 2.6 states/eV/f.u.. Number 6: DOS at the Fermi energy 8.0 states/eV/f.u.. Number 7: DOS at the Fermi energy 4.8 states/eV/f.u.. Number 8: DOS at the Fermi energy 17.2 states/eV/f.u.. Number 9: DOS at the Fermi energy 3.5 states/eV/f.u.. Number 10: DOS at the Fermi energy 5.4 states/eV/f.u.. Number 11: DOS at the Fermi energy 3.1 states/eV/f.u.. Number 12: DOS at the Fermi energy 4.3 states/eV/f.u..